Density functional theory data (GGA-PBE) for a geometry-optimized TbLuScIr structure.

Values from the calculation:
crystal system	cubic
VASP energy	-6.384	eV/atom
ΔE_f	-0.298	eV/atom

a b c (Å): 4.999 4.999 4.999
angles (deg): 60.00 60.00 60.00
Sites, in units of the cell vectors:
1 Sc 0.250 0.250 0.250
2 Tb 0.500 0.500 0.500
3 Ir 0.750 0.750 0.750
4 Lu 0.000 0.000 0.000